# PrPuBiN

A relaxed PrPuBiN crystal (GGA-PBE, Alexandria via LeMat-Bulk).

* final energy: -70.03 eV for the cell shown
* magnetization: 1.23 μB/atom

Unit cell a=4.754 b=4.754 c=9.100 alpha=90.00 beta=90.00 gamma=90.00
Sites, in units of the cell vectors:
Pr: 0.250 0.750 0.000
Pr: 0.750 0.250 0.000
Pu: 0.250 0.250 0.327
Pu: 0.750 0.750 0.673
Bi: 0.250 0.250 0.690
Bi: 0.750 0.750 0.310
N: 0.250 0.250 0.095
N: 0.750 0.750 0.905